! KLaTc2Te | Alexandria | meta-GGA SCAN | single point on PBEsol structure; values from VASP
&SYSTEM
  ibrav = 0, nat = 5, ntyp = 4
/
ATOMIC_SPECIES
K 39.10 K.upf
La 138.91 La.upf
Tc 98.00 Tc.upf
Te 127.60 Te.upf
ATOMIC_POSITIONS crystal
K 0.0000 0.0000 0.0000
La 0.5000 0.5000 0.5000
Tc 0.0000 0.5000 0.0000
Tc 0.5000 0.0000 0.0000
Te 0.0000 0.0000 0.5000
CELL_PARAMETERS angstrom
4.5846 0.0000 0.0000
0.0000 4.5846 0.0000
0.0000 0.0000 5.7808
! Energy in eV for the cell shown: -150.02
! DOS at the Fermi energy in states/eV per atom: 0.78
! Spin magnetization in μB per cell: 3.95
! Symmetry: P4/mmm (123)
! ΔE_f (raw) in eV/f.u.: 8.8